VASP calculation (PBE-GGA) on crystalline NdHo2N at its relaxed geometry.

energy above the most stable polymorph in this dataset	524	meV/atom
spin magnetization	0.0	μB per formula unit
space group	P4/mmm, No. 123
final energy	-5.747	eV per atom
uncorrected formation energy	-0.185	eV/atom

Unit cell a=3.166 b=3.166 c=8.928 alpha=90.00 beta=90.00 gamma=90.00
Sites, in units of the cell vectors:
Nd 0.000 0.000 0.000
Ho 0.500 0.500 0.342
Ho 0.500 0.500 0.658
N 0.000 0.000 0.500